No. 1
Computed, not measured: a relaxed Sn2Te2Pb crystal at the GGA-PBE level of DFT.

Cell and atoms, written as extended XYZ:
```
5
Lattice="-3.0314 3.0314 4.6352 3.0314 -3.0314 4.6352 3.0314 3.0314 -4.6352" Properties=species:S:1:pos:R:3 pbc="T T T"
Sn 0.0000 0.0000 1.5004
Sn 0.0000 0.0000 7.7699
Te 3.0314 0.0000 2.3176
Te 0.0000 3.0314 2.3176
Pb 0.0000 0.0000 4.6352
```

Values from the calculation:
**Raw formation energy**: -30 meV/atom
**Total DFT energy (no corrections)**: -3.629 eV/atom
**Spin magnetization**: 0.0 μB/cell


No. 2
Computed, not measured: a relaxed PrHoHg4 crystal at the GGA-PBE level of DFT.

Cell and atoms, written as extended XYZ:
```
6
Lattice="5.3064 -1.9532 0.0000 5.3064 1.9532 0.0000 -2.9308 0.0000 7.5473" Properties=species:S:1:pos:R:3 pbc="T T T"
Pr 0.0000 0.0000 0.0000
Ho -1.4654 0.0000 3.7736
Hg 1.6002 0.0000 4.9453
Hg 3.0091 0.0000 1.3590
Hg 4.6727 0.0000 6.1882
Hg 6.0817 0.0000 2.6020
```

Values from the calculation:
**E_form**: -350 meV per atom
**Total DFT energy (no corrections)**: -2.111 eV/atom
**Spin magnetization**: 0.0 μB/cell


No. 3
Computed, not measured: a relaxed Pm2PuTh3As6 crystal at the GGA-PBE level of DFT.

Cell and atoms, written as extended XYZ:
```
12
Lattice="9.2236 -2.1221 0.0000 9.2236 2.1221 0.0000 -1.9033 0.0000 8.2323" Properties=species:S:1:pos:R:3 pbc="T T T"
Pm 2.4388 0.0000 2.7464
Pm 14.1052 0.0000 5.4858
Pu 9.2236 0.0000 0.0000
Th 1.4874 0.0000 6.8657
Th 8.2720 0.0000 4.1161
Th 15.0566 0.0000 1.3666
As 17.9765 0.0000 2.0267
As -1.4325 0.0000 6.2055
As 5.3584 0.0000 3.4225
As 4.4189 0.0000 7.5509
As 12.1251 0.0000 0.6814
As 11.1856 0.0000 4.8098
```

Values from the calculation:
**E_form**: -1402 meV per atom
**Total DFT energy (no corrections)**: -7.568 eV/atom
**Spin magnetization**: 5.6 μB/cell